(1)
Density functional theory data (PBE) for KHfCdAu after structural relaxation.

Summary:
ΔE to the lowest computed polymorph   26 meV/atom

Cell lengths 4.952, 4.952, 4.952 Å; angles 60.00, 60.00, 60.00 degrees
Element x y z (fractional)
Au 0.750 0.750 0.750
Cd 0.000 0.000 0.000
Hf 0.500 0.500 0.500
K 0.250 0.250 0.250



(2)
Density functional theory data (PBE) for SrLu2Tc after structural relaxation.

Summary:
E   -18.880 eV for the cell shown

Cell lengths 5.221, 5.221, 5.221 Å; angles 60.00, 60.00, 60.00 degrees
Element x y z (fractional)
Lu 0.250 0.250 0.250
Lu 0.500 0.500 0.500
Sr 0.750 0.750 0.750
Tc 0.000 0.000 0.000



(3)
Density functional theory data (PBE) for Zr4SnGeC2 after structural relaxation.

Summary:
E   -67.622 eV for the cell shown

Cell lengths 3.360, 3.360, 14.277 Å; angles 90.00, 90.00, 120.00 degrees
Element x y z (fractional)
C 0.333 0.667 0.242
C 0.333 0.667 0.758
Ge 0.000 0.000 0.000
Sn 0.667 0.333 0.500
Zr 0.667 0.333 0.152
Zr 0.000 0.000 0.330
Zr 0.000 0.000 0.670
Zr 0.667 0.333 0.848